Entry from Alexandria: a geometry-optimized SrMg2Se structure (PBE-GGA).

a = 3.639 Å, b = 3.639 Å, c = 8.292 Å
α = 90.00°, β = 90.00°, γ = 89.79°
Positions (direct):
Sr 0.500 0.500 0.750
Se 0.500 0.500 0.250
Mg 0.000 0.000 0.066
Mg 0.000 0.000 0.434

Properties
Final energy, eV per atom: -2.546
Calculated density, g/cm3: 3.25
Formation energy without anion corrections, meV/atom: -457
Volume, A^3/atom: 27.449


Entry from Alexandria: a geometry-optimized LiTbGdAu structure (PBE-GGA).

a = 5.138 Å, b = 5.138 Å, c = 5.138 Å
α = 60.00°, β = 60.00°, γ = 60.00°
Last column: magnetic moment on the atom in μB.
Positions (direct):
Li 0.500 0.500 0.500  0.00
Tb 0.750 0.750 0.750  0.02
Gd 0.250 0.250 0.250  7.05
Au 0.000 0.000 0.000  0.00

Properties
DFT formation energy, eV/atom: -0.39
Final energy, eV per atom: -6.366
Calculated density, g/cm3: 9.00
Volume, A^3/atom: 23.980


Number 1: total magnetic moment 0.00 Bohr magnetons per cell. Number 2: total magnetic moment 7.22 Bohr magnetons per cell.